Computed, not measured: a relaxed structure of V2ZnO6 at the PBE with a Hubbard U level of DFT.

Results
For the total magnetization, the calculation gives 0.0 Bohr magnetons per cell. The symmetry is No. 5. The uncorrected energy comes out at -6.841 eV per atom.

abc: 5.1936 5.1936 6.9014
angles: 101.14 101.14 40.80
Fractional positions:
V (0.2320, 0.2320, 0.1824)
V (0.7680, 0.7680, 0.8176)
Zn (0.9903, 0.0097, 0.5000)
O (0.0794, 0.0791, 0.2611)
O (0.2611, 0.2611, 0.8983)
O (0.3678, 0.3676, 0.3808)
O (0.6324, 0.6322, 0.6192)
O (0.7389, 0.7389, 0.1017)
O (0.9209, 0.9206, 0.7389)